(1)
VASP calculation (PBE) on a geometry-optimized AgTePCl2 structure.

raw formation energy	0.44	eV/atom
spin magnetization	0.7	μB per cell
distance to the lowest polymorph of the same formula	0.0060	eV per atom

Unit cell a=4.808 b=4.808 c=5.405 alpha=90.00 beta=90.00 gamma=90.00
Last column: magnetic moment on the atom in μB.
Atoms (fractional coordinates):
P  0.000  0.000  0.500  -0.19
Te  0.500  0.500  0.500  0.57
Ag  0.000  0.000  0.000  -0.01
Cl  0.000  0.500  0.000  0.06
Cl  0.500  0.000  0.000  0.06



(2)
VASP calculation (PBE) on a geometry-optimized TiAgP2Cl structure.

raw formation energy	0.88	eV/atom
spin magnetization	0.0	μB per cell
distance to the lowest polymorph of the same formula	0.8497	eV per atom

Unit cell a=4.766 b=4.766 c=4.853 alpha=90.00 beta=90.00 gamma=90.00
Atoms (fractional coordinates):
P  0.000  0.500  0.000
P  0.500  0.000  0.000
Cl  0.000  0.000  0.500
Ag  0.000  0.000  0.000
Ti  0.500  0.500  0.500



(3)
VASP calculation (PBE) on a geometry-optimized TiAgP2Cl structure.

raw formation energy	0.03	eV/atom
spin magnetization	0.0	μB per cell
distance to the lowest polymorph of the same formula	0.0000	eV per atom

Unit cell a=4.720 b=4.720 c=4.907 alpha=90.00 beta=90.00 gamma=90.00
Atoms (fractional coordinates):
P  0.000  0.500  0.000
P  0.500  0.000  0.000
Cl  0.000  0.000  0.500
Ag  0.500  0.500  0.500
Ti  0.000  0.000  0.000



(4)
VASP calculation (PBE) on a geometry-optimized TiAgPCl2 structure.

raw formation energy	0.49	eV/atom
spin magnetization	1.0	μB per cell
distance to the lowest polymorph of the same formula	0.8777	eV per atom

Unit cell a=4.891 b=4.891 c=5.027 alpha=90.00 beta=90.00 gamma=90.00
Last column: magnetic moment on the atom in μB.
Atoms (fractional coordinates):
P  0.000  0.000  0.500  0.39
Cl  0.000  0.500  0.000  0.07
Cl  0.500  0.000  0.000  0.07
Ag  0.000  0.000  0.000  0.08
Ti  0.500  0.500  0.500  -1.76



(5)
VASP calculation (PBE) on a geometry-optimized TiAgPCl2 structure.

raw formation energy	-0.38	eV/atom
spin magnetization	0.0	μB per cell
distance to the lowest polymorph of the same formula	0.0000	eV per atom

Unit cell a=4.707 b=4.707 c=4.990 alpha=90.00 beta=90.00 gamma=90.00
Atoms (fractional coordinates):
P  0.000  0.000  0.500
Cl  0.000  0.500  0.000
Cl  0.500  0.000  0.000
Ag  0.500  0.500  0.500
Ti  0.000  0.000  0.000



(6)
VASP calculation (PBE) on a geometry-optimized TlAgPCl2 structure.

raw formation energy	0.37	eV/atom
spin magnetization	1.5	μB per cell
distance to the lowest polymorph of the same formula	0.3782	eV per atom

Unit cell a=5.445 b=5.445 c=5.243 alpha=90.00 beta=90.00 gamma=90.00
Last column: magnetic moment on the atom in μB.
Atoms (fractional coordinates):
P  0.000  0.000  0.500  0.60
Tl  0.000  0.000  0.000  0.01
Ag  0.500  0.500  0.500  -0.01
Cl  0.000  0.500  0.000  0.05
Cl  0.500  0.000  0.000  0.05